First-principles (PBE) data for a relaxed structure of TbLuCo2I2, as listed in OQMD via LeMat-Bulk.

```
TbLuCo2I2
1.0
3.962 0.000 0.000
-1.981 3.431 0.000
0.000 0.000 12.164
Co I Lu Tb
2 2 1 1
Direct
0.333 0.667 0.000
0.667 0.333 0.007
0.333 0.667 0.321
0.667 0.333 0.672
0.000 0.000 0.147
0.000 0.000 0.852
```

Properties
crystal system: trigonal
total energy: -31.2 eV/cell